(1)
CaSm2Mg2: relaxed, PBE.

Cell and atoms, written as POSCAR:
```
CaSm2Mg2
1.0
-0.8354 2.9059 -2.2869
-0.0298 -3.4607 -4.3864
-13.7047 -3.9159 3.1827
Ca Mg Sm
2 4 4
Cartesian
-10.3348 -2.8685 -3.0043 Ca
-4.2351 -1.6022 -0.4863 Ca
-4.3793 -1.8285 -3.8653 Mg
-12.6882 -4.8032 -1.4619 Mg
-1.8817 0.3325 -2.0287 Mg
-10.1906 -2.6422 0.3747 Mg
-6.6602 -3.7528 -2.3316 Sm
-1.2767 -2.8145 -3.1085 Sm
-13.2932 -1.6562 -0.3821 Sm
-7.9097 -0.7179 -1.1590 Sm
```

Computed properties:
DFT total energy: -2.973 eV/atom
Formation enthalpy at 0 K: -0.048 eV per atom

(2)
CaSmMg5: relaxed, PBE.

Cell and atoms, written as POSCAR:
```
CaSmMg5
1.0
3.2648 -4.8113 0.0000
3.2648 4.8113 0.0000
0.0000 0.0000 6.6759
Ca Mg Sm
1 5 1
Cartesian
3.2648 0.0000 3.3380 Ca
1.6324 -2.4057 5.0335 Mg
1.6324 2.4057 5.0335 Mg
1.6324 2.4057 1.6425 Mg
1.6324 -2.4057 1.6425 Mg
0.0000 0.0000 3.3380 Mg
0.0000 0.0000 0.0000 Sm
```

Computed properties:
DFT total energy: -1.968 eV/atom
Formation enthalpy at 0 K: 0.131 eV per atom

no.,DOS(E_F) (states/eV/cell)
1,13.61
2,5.17